Entry 1:
A geometry-optimized LiMoPt structure, computed with PBEsol.

Calculated values
The calculation puts the spin magnetization at 0.00 μB per formula unit. For the total energy, the calculation gives -6.955 eV/atom. The value obtained for the theoretical density is 11.844 g/cm3.

Cell: 2.674 3.998 4.589 Å, 115.83 106.94 90.00°
Atoms (fractional coordinates):
Mo 0.329 0.329 0.657
Pt 0.667 0.667 0.334
Li 0.004 0.004 0.009

Entry 2:
A geometry-optimized LiMo2Pt structure, computed with PBEsol.

Calculated values
The calculation puts the spin magnetization at 0.00 μB per formula unit. For the total energy, the calculation gives -7.819 eV/atom. The value obtained for the theoretical density is 11.308 g/cm3.

Cell: 3.370 3.370 5.093 Å, 90.00 90.00 90.00°
Atoms (fractional coordinates):
Mo 0.000 0.000 0.276
Pt 0.500 0.500 0.000
Mo 0.000 0.000 0.724
Li 0.500 0.500 0.500

Entry 3:
A geometry-optimized Li2MoPt structure, computed with PBEsol.

Calculated values
The calculation puts the spin magnetization at 0.00 μB per formula unit. For the total energy, the calculation gives -5.615 eV/atom. The value obtained for the theoretical density is 8.873 g/cm3.

Cell: 2.579 2.579 8.580 Å, 90.00 90.00 90.00°
Atoms (fractional coordinates):
Pt 0.500 0.500 0.500
Mo 0.500 0.500 0.000
Li 0.000 0.000 0.724
Li 0.000 0.000 0.276

Entry 4:
A geometry-optimized Rb3LiMo structure, computed with PBEsol.

Calculated values
The calculation puts the spin magnetization at 5.66 μB per formula unit. For the total energy, the calculation gives -2.072 eV/atom. The value obtained for the theoretical density is 1.677 g/cm3.

Cell: 7.086 7.086 7.086 Å, 90.00 90.00 90.00°
Atoms (fractional coordinates):
Rb 0.500 0.000 0.000
Mo 0.000 0.000 0.000
Rb 0.000 0.000 0.500
Rb 0.000 0.500 0.000
Li 0.500 0.500 0.500